(1)
Density functional theory data (PBE) for crystalline Pr8GePb2 at its relaxed geometry.

abc: 10.3549 10.3549 7.0470
angles: 104.81 104.81 29.63
Last column: nearest neighbours and their distance in Å.
Positions (direct):
Pr 0.0131 0.0131 0.2750  2 Ge 3.13, 1 Pb 3.33, 3 Pr 3.35-3.49
Pr 0.2171 0.2171 0.8235  3 Pb 3.33-3.52, 4 Pr 3.51-3.63
Pr 0.3482 0.3482 0.4989  1 Ge 3.04, 2 Pb 3.29
Pr 0.4111 0.4111 0.0359  1 Ge 3.28, 3 Pr 3.49-3.66, 2 Pb 3.52
Pr 0.5889 0.5889 0.9641  1 Ge 3.28, 3 Pr 3.49-3.66, 2 Pb 3.52
Pr 0.6518 0.6518 0.5011  1 Ge 3.04, 2 Pb 3.29
Pr 0.7829 0.7829 0.1765  3 Pb 3.33-3.52, 4 Pr 3.51-3.63
Pr 0.9869 0.9869 0.7250  2 Ge 3.13, 1 Pb 3.33, 3 Pr 3.35-3.49
Ge 0.5000 0.5000 0.5000  8 Pr 3.04-3.28
Pb 0.1774 0.1774 0.2533  9 Pr 3.29-3.52
Pb 0.8226 0.8226 0.7467  9 Pr 3.29-3.52

Results
* formation energy: -336 meV per atom

(2)
Density functional theory data (PBE) for crystalline FeNiBi2 at its relaxed geometry.

abc: 6.8357 6.8357 6.8357
angles: 125.90 125.90 80.05
Last column: nearest neighbours and their distance in Å.
Positions (direct):
Fe 0.0000 0.0000 0.0000  4 Bi 2.54
Fe 0.7500 0.2500 0.5000  4 Bi 2.54
Ni 0.2500 0.7500 0.5000  4 Bi 2.57
Ni 0.5000 0.5000 0.0000  4 Bi 2.57
Bi 0.1207 0.6250 0.9957  2 Fe 2.54, 2 Ni 2.57
Bi 0.3750 0.3707 0.4957  2 Fe 2.54, 2 Ni 2.57
Bi 0.6293 0.1250 0.0043  2 Fe 2.54, 2 Ni 2.57
Bi 0.8750 0.8793 0.5043  2 Fe 2.54, 2 Ni 2.57

Results
* formation energy: 742 meV per atom

(3)
Density functional theory data (PBE) for crystalline LaMg3O at its relaxed geometry.

abc: 6.3525 6.3525 6.3525
angles: 90.00 90.00 90.00
Last column: nearest neighbours and their distance in Å.
Positions (direct):
La 0.0000 0.0000 0.0000  6 Mg 3.18
Mg 0.0000 0.0000 0.5000  2 La 3.18
Mg 0.0000 0.5000 0.0000  2 La 3.18
Mg 0.5000 0.0000 0.0000  2 La 3.18
O 0.5000 0.5000 0.5000  12 Mg 4.49

Results
* E_form (uncorrected): 1.47 eV/atom

(4)
Density functional theory data (PBE) for crystalline BaPd2Pb at its relaxed geometry.

abc: 6.2043 6.2043 6.2043
angles: 45.33 45.33 45.33
Last column: nearest neighbours and their distance in Å.
Positions (direct):
Ba 0.0000 0.0000 0.0000  8 Pd 3.29-3.57
Pd 0.1972 0.1972 0.1972  3 Pb 2.81, 3 Pd 2.94
Pd 0.8028 0.8028 0.8028  3 Pb 2.81, 3 Pd 2.94
Pb 0.5000 0.5000 0.5000  6 Pd 2.81

Results
* formation energy: -508 meV per atom

(5)
Density functional theory data (PBE) for crystalline Re2PbBr at its relaxed geometry.

abc: 6.7273 6.7273 6.7273
angles: 124.86 124.86 81.78
Last column: nearest neighbours and their distance in Å.
Positions (direct):
Re 0.0788 0.6250 0.9538  2 Br 2.38
Re 0.3750 0.3288 0.4538  2 Br 2.38
Re 0.6712 0.1250 0.0462  2 Br 2.38
Re 0.8750 0.9212 0.5462  2 Br 2.38
Pb 0.2500 0.7500 0.5000  4 Re 2.73
Pb 0.5000 0.5000 0.0000  4 Re 2.73
Br 0.0000 0.0000 0.0000  4 Re 2.38
Br 0.7500 0.2500 0.5000  4 Re 2.38

Results
* E_form (uncorrected): 2.05 eV/atom

(6)
Density functional theory data (PBE) for crystalline AlRu2Pb at its relaxed geometry.

abc: 4.4897 4.4897 4.4897
angles: 60.00 60.00 60.00
Last column: nearest neighbours and their distance in Å.
Positions (direct):
Al 0.0000 0.0000 0.0000  8 Ru 2.75
Ru 0.2500 0.2500 0.2500  4 Pb 2.75, 4 Al 2.75
Ru 0.7500 0.7500 0.7500  4 Pb 2.75, 4 Al 2.75
Pb 0.5000 0.5000 0.5000  8 Ru 2.75

Results
* formation energy: 13 meV per atom

(7)
Density functional theory data (PBE) for crystalline LaRuPt2 at its relaxed geometry.

abc: 9.3884 9.3884 9.3884
angles: 150.99 150.99 41.49
Last column: nearest neighbours and their distance in Å.
Positions (direct):
La 0.0000 0.0000 0.0000  4 Pt 3.13, 4 Ru 3.33
La 0.7500 0.2500 0.5000  4 Pt 3.13, 4 Ru 3.33
Ru 0.2500 0.7500 0.5000  4 Pt 2.53
Ru 0.5000 0.5000 0.0000  4 Pt 2.53
Pt 0.2791 0.6250 0.1541  2 Pt 2.52, 2 Ru 2.53
Pt 0.3750 0.5291 0.6541  2 Pt 2.52, 2 Ru 2.53
Pt 0.4709 0.1250 0.8459  2 Pt 2.52, 2 Ru 2.53
Pt 0.8750 0.7209 0.3459  2 Pt 2.52, 2 Ru 2.53

Results
* formation energy: -129 meV per atom

(8)
Density functional theory data (PBE) for crystalline ThOsC at its relaxed geometry.

abc: 3.4820 3.4820 4.9610
angles: 90.00 90.00 120.00
Last column: nearest neighbours and their distance in Å.
Positions (direct):
Th 0.0000 0.0000 0.0000  6 Os 3.19, 6 C 3.19, 6 Th 3.48
Os 0.6667 0.3333 0.5000  3 C 2.01
C 0.3333 0.6667 0.5000  3 Os 2.01

Results
* formation energy: 80 meV per atom

(9)
Density functional theory data (PBE) for crystalline LiBe2FeAu at its relaxed geometry.

abc: 4.3545 4.3545 4.9239
angles: 90.00 90.00 90.00
Last column: nearest neighbours and their distance in Å.
Positions (direct):
Li 0.0000 0.0000 0.0000  4 Fe 3.08, 8 Be 3.29
Be 0.0000 0.5000 0.5000  2 Au 2.18
Be 0.5000 0.0000 0.5000  2 Au 2.18
Fe 0.5000 0.5000 0.0000  2 Au 2.46
Au 0.5000 0.5000 0.5000  4 Be 2.18

Results
* formation energy: 654 meV per atom

(10)
Density functional theory data (PBE) for crystalline Pr12Cd3Hg at its relaxed geometry.

abc: 5.0198 5.0198 20.0370
angles: 90.00 90.00 90.00
Last column: nearest neighbours and their distance in Å.
Positions (direct):
Pr 0.0000 0.0000 0.0000  8 Pr 3.53, 4 Hg 3.55
Pr 0.0000 0.0000 0.2491  4 Cd 3.55, 8 Pr 3.55
Pr 0.0000 0.0000 0.5000  4 Cd 3.55, 8 Pr 3.55
Pr 0.0000 0.0000 0.7509  4 Cd 3.55, 8 Pr 3.55
Pr 0.0000 0.5000 0.1238  2 Hg 3.53, 8 Pr 3.53-3.55, 2 Cd 3.55
Pr 0.0000 0.5000 0.3744  8 Pr 3.55, 4 Cd 3.55
Pr 0.0000 0.5000 0.6256  8 Pr 3.55, 4 Cd 3.55
Pr 0.0000 0.5000 0.8762  2 Hg 3.53, 8 Pr 3.53-3.55, 2 Cd 3.55
Pr 0.5000 0.0000 0.1238  2 Hg 3.53, 8 Pr 3.53-3.55, 2 Cd 3.55
Pr 0.5000 0.0000 0.3744  8 Pr 3.55, 4 Cd 3.55
Pr 0.5000 0.0000 0.6256  8 Pr 3.55, 4 Cd 3.55
Pr 0.5000 0.0000 0.8762  2 Hg 3.53, 8 Pr 3.53-3.55, 2 Cd 3.55
Cd 0.5000 0.5000 0.2490  12 Pr 3.55
Cd 0.5000 0.5000 0.5000  12 Pr 3.55
Cd 0.5000 0.5000 0.7510  12 Pr 3.55
Hg 0.5000 0.5000 0.0000  12 Pr 3.53-3.55

Results
* formation energy: -133 meV per atom

(11)
Density functional theory data (PBE) for crystalline CsNaTl2Pd at its relaxed geometry.

abc: 5.4159 5.4159 5.8875
angles: 90.00 90.00 90.00
Last column: nearest neighbours and their distance in Å.
Positions (direct):
Cs 0.0000 0.0000 0.0000  4 Na 3.83, 8 Tl 4.00
Na 0.5000 0.5000 0.0000  2 Pd 2.94
Tl 0.0000 0.5000 0.5000  2 Pd 2.71
Tl 0.5000 0.0000 0.5000  2 Pd 2.71
Pd 0.5000 0.5000 0.5000  4 Tl 2.71, 2 Na 2.94

Results
* formation energy: -120 meV per atom

(12)
Density functional theory data (PBE) for crystalline Cd2SiF at its relaxed geometry.

abc: 7.3256 7.3256 7.3256
angles: 135.05 135.05 65.45
Last column: nearest neighbours and their distance in Å.
Positions (direct):
Cd 0.0974 0.6250 0.9724  2 F 2.43, 2 Si 2.60
Cd 0.3750 0.3474 0.4724  2 F 2.43, 2 Si 2.60
Cd 0.6526 0.1250 0.0276  2 F 2.43, 2 Si 2.60
Cd 0.8750 0.9026 0.5276  2 F 2.43, 2 Si 2.60
Si 0.2500 0.7500 0.5000  4 Cd 2.60
Si 0.5000 0.5000 0.0000  4 Cd 2.60
F 0.0000 0.0000 0.0000  4 Cd 2.43
F 0.7500 0.2500 0.5000  4 Cd 2.43

Results
* E_form (uncorrected): -0.40 eV/atom

Number 1: V 360.3 Å³/f.u.. Number 2: V 101.2 Å³/f.u.. Number 3: V 256.4 Å³/f.u.. Number 4: V 110.0 Å³/f.u.. Number 5: V 98.6 Å³/f.u.. Number 6: V 64.0 Å³/f.u.. Number 7: V 97.1 Å³/f.u.. Number 8: V 52.1 Å³/f.u.. Number 9: V 93.4 Å³/f.u.. Number 10: V 504.9 Å³/f.u.. Number 11: V 172.7 Å³/f.u.. Number 12: V 96.6 Å³/f.u..